(1)
PBE HfZrRu2, relaxed; N(E_F) = 1.02 states/eV/atom; raw total energy = -8.812 eV per atom
1.0
2.917 0.000 0.000
0.000 5.049 0.000
0.000 0.000 10.058
Hf Zr Ru
2 2 4
Direct
0.000 0.000 0.000 Hf
0.500 0.500 0.500 Hf
0.000 0.000 0.500 Zr
0.500 0.500 0.000 Zr
0.000 0.000 0.247 Ru
0.000 0.000 0.753 Ru
0.500 0.500 0.253 Ru
0.500 0.500 0.747 Ru



(2)
PBE NdGa4Bi, relaxed; N(E_F) = 0.66 states/eV/atom; raw total energy = -3.715 eV per atom
1.0
0.000 4.048 4.048
4.048 0.000 4.048
4.048 4.048 0.000
Nd Ga Bi
1 4 1
Direct
0.000 0.000 0.000 Nd
0.375 0.375 0.375 Ga
0.375 0.375 0.875 Ga
0.375 0.875 0.375 Ga
0.875 0.375 0.375 Ga
0.750 0.750 0.750 Bi



(3)
PBE PuCuNi2, relaxed; N(E_F) = 2.33 states/eV/atom; distance to the lowest polymorph of the same formula = 209 meV/atom; raw total energy = -7.464 eV per atom
1.0
3.041 0.000 0.000
0.000 3.041 0.000
0.000 0.000 6.304
Pu Cu Ni
1 1 2
Direct
0.000 0.000 0.000 Pu
0.000 0.000 0.500 Cu
0.500 0.500 0.299 Ni
0.500 0.500 0.701 Ni



(4)
PBE CaPdC, relaxed; N(E_F) = 0.41 states/eV/atom; distance to the lowest polymorph of the same formula = 48 meV/atom; raw total energy = -5.708 eV per atom
1.0
3.825 0.000 0.000
0.037 4.101 0.000
1.821 2.017 6.985
Ca Pd C
2 2 2
Direct
0.126 0.335 0.263 Ca
0.874 0.665 0.737 Ca
0.316 0.103 0.857 Pd
0.684 0.897 0.143 Pd
0.461 0.373 0.576 C
0.539 0.627 0.424 C